Computed, not measured: TlCdBi2 after structural relaxation at the GGA-PBE level of DFT.

Computed properties:
Symmetry ... I-42d, No. 122
Energy above the lowest structure with this stoichiometry ... 0.155 eV per atom
ΔH_f (0 K) ... 197 meV per atom
Crystal system ... tetragonal
E ... -20.512 eV/cell

Unit cell a=6.951 b=6.951 c=8.280 alpha=65.18 beta=65.18 gamma=90.00
Fractional coordinates of all 8 atoms:
Cd  0.500  0.500  0.000
Tl  0.750  0.250  0.500
Bi  0.875  0.864  0.750
Cd  0.250  0.750  0.500
Tl  0.000  0.000  0.000
Bi  0.614  0.125  0.250
Bi  0.375  0.386  0.750
Bi  0.136  0.625  0.250

***

Computed, not measured: K2TeRh after structural relaxation at the GGA-PBE level of DFT.

Computed properties:
Symmetry ... Amm2, No. 38
Crystal system ... orthorhombic
E ... -13.944 eV/cell

Unit cell a=4.424 b=5.475 c=6.412 alpha=64.73 beta=90.00 gamma=90.00
Fractional coordinates of all 4 atoms:
K  0.500  0.266  0.342
Rh  0.000  0.679  0.518
Te  0.500  0.573  0.729
K  0.000  0.982  0.911